Record 1
# SmAlZn2, optimized geometry, DFT PBE-GGA
# N(E_F), states/eV per atom: 0.242
# ΔE_f, eV/atom: -0.38
data_SmAlZn2
_cell_length_a 6.6660
_cell_length_b 4.5338
_cell_length_c 10.3592
_cell_angle_alpha 90.00
_cell_angle_beta 90.00
_cell_angle_gamma 90.00
_space_group_name_H-M_alt 'A m m 2'
_space_group_IT_number 38
loop_
_space_group_symop_operation_xyz
'x,y,z'
'-x,-y,z'
'-x,y,z'
'x,-y,z'
'x,y+1/2,z+1/2'
'-x,-y+1/2,z+1/2'
'-x,y+1/2,z+1/2'
'x,-y+1/2,z+1/2'
loop_
_atom_site_label
_atom_site_fract_x
_atom_site_fract_y
_atom_site_fract_z
_atom_site_occupancy
Sm1 0.0000 0.0000 0.0000 1
Sm2 0.5000 0.0000 0.1937 1
Al1 0.1960 0.0000 0.7150 1
Zn1 0.0000 0.0000 0.2958 1
Zn2 0.3085 0.0000 0.4739 1
Zn3 0.5000 0.0000 0.8954 1

***

Record 2
# NpInAu4, optimized geometry, DFT PBE-GGA
# Energy above the lowest structure with this stoichiometry, eV per atom: 0.040
# N(E_F), states/eV per atom: 1.780
# ΔE_f, eV/atom: -0.12
data_NpInAu4
_cell_length_a 7.9759
_cell_length_b 7.9759
_cell_length_c 7.9759
_cell_angle_alpha 90.00
_cell_angle_beta 90.00
_cell_angle_gamma 90.00
_space_group_name_H-M_alt 'F -4 3 m'
_space_group_IT_number 216
_space_group_name_Hall 'F -4 2 3'
loop_
_atom_site_label
_atom_site_fract_x
_atom_site_fract_y
_atom_site_fract_z
_atom_site_occupancy
Np1 0.0000 0.0000 0.0000 1
In1 0.2500 0.2500 0.7500 1
Au1 0.1249 0.1249 0.3751 1

***

Record 3
# K2SrBe, optimized geometry, DFT PBE-GGA
# N(E_F), states/eV per atom: 0.881
# ΔE_f, eV/atom: 0.75
data_K2SrBe
_cell_length_a 7.1478
_cell_length_b 11.2928
_cell_length_c 4.6175
_cell_angle_alpha 90.00
_cell_angle_beta 90.00
_cell_angle_gamma 90.00
_space_group_name_H-M_alt 'C m m m'
_space_group_IT_number 65
_space_group_name_Hall '-C 2 2'
loop_
_atom_site_label
_atom_site_fract_x
_atom_site_fract_y
_atom_site_fract_z
_atom_site_occupancy
K1 0.2500 0.2500 0.0000 1
Sr1 0.0000 0.0000 0.5000 1
Be1 0.0000 0.5000 0.5000 1

***

Record 4
# Ba2CuPt, optimized geometry, DFT PBE-GGA
# N(E_F), states/eV per atom: 0.379
# ΔE_f, eV/atom: -0.33
data_Ba2CuPt
_cell_length_a 5.4882
_cell_length_b 5.4882
_cell_length_c 3.9492
_cell_angle_alpha 90.00
_cell_angle_beta 90.00
_cell_angle_gamma 90.00
_space_group_name_H-M_alt 'P 4/m m m'
_space_group_IT_number 123
_space_group_name_Hall '-P 4 2'
loop_
_atom_site_label
_atom_site_fract_x
_atom_site_fract_y
_atom_site_fract_z
_atom_site_occupancy
Ba1 0.0000 0.5000 0.0000 1
Cu1 0.0000 0.0000 0.5000 1
Pt1 0.5000 0.5000 0.5000 1

***

Record 5
# Er2AuS, optimized geometry, DFT PBE-GGA
# Energy above the lowest structure with this stoichiometry, eV per atom: 0.056
# N(E_F), states/eV per atom: 0.479
data_Er2AuS
_cell_length_a 3.8422
_cell_length_b 3.8422
_cell_length_c 21.5939
_cell_angle_alpha 90.00
_cell_angle_beta 90.00
_cell_angle_gamma 120.00
_space_group_name_H-M_alt 'R -3 m'
_space_group_IT_number 166
_space_group_name_Hall '-R 3 2"'
loop_
_atom_site_label
_atom_site_fract_x
_atom_site_fract_y
_atom_site_fract_z
_atom_site_occupancy
Er1 0.0000 0.0000 0.2447 1
Au1 0.0000 0.0000 0.0000 1
S1 0.0000 0.0000 0.5000 1

***

Record 6
# Tb5PrEr3, optimized geometry, DFT PBE-GGA
# N(E_F), states/eV per atom: 1.502
# ΔE_f, eV/atom: 0.42
data_Tb5PrEr3
_cell_length_a 16.8938
_cell_length_b 8.0000
_cell_length_c 12.2124
_cell_angle_alpha 90.00
_cell_angle_beta 130.73
_cell_angle_gamma 90.00
_space_group_name_H-M_alt 'C 1 2/m 1'
_space_group_IT_number 12
loop_
_space_group_symop_operation_xyz
'x,y,z'
'-x,-y,-z'
'-x,y,-z'
'x,-y,z'
'x+1/2,y+1/2,z'
'-x+1/2,-y+1/2,-z'
'-x+1/2,y+1/2,-z'
'x+1/2,-y+1/2,z'
loop_
_atom_site_label
_atom_site_fract_x
_atom_site_fract_y
_atom_site_fract_z
_atom_site_occupancy
Tb1 0.0000 0.1794 0.0000 1
Tb2 0.0639 0.2937 0.7788 1
Tb3 0.1254 0.5000 0.5684 1
Tb4 0.1999 0.0000 0.0697 1
Pr1 0.2368 0.5000 0.1338 1
Er1 0.0000 0.0000 0.5000 1
Er2 0.0000 0.5000 0.0000 1
Er3 0.1199 0.0000 0.3178 1
Er4 0.1692 0.5000 0.3390 1